The following is a PBE-GGA calculation of crystalline CsDyRe2O8 at its relaxed geometry, from the Alexandria database.

abc: 6.0696 6.0696 8.4498
angles: 90.00 90.00 120.00
Space group P-3m1 (No. 164)
One atom of each set of equivalent atoms:
Cs  0.0000  0.0000  0.0000
Dy  0.0000  0.0000  0.5000
Re  0.3333  0.6667  0.7323
O  0.1714  0.3427  0.6599
O  0.3333  0.6667  0.9414

## Properties
**Crystal system**: trigonal
**Mass density**: 4.90 g/cm3

The following is a PBE-GGA calculation of crystalline CsDyReO6 at its relaxed geometry, from the Alexandria database.

abc: 5.7696 10.1710 6.2808
angles: 90.00 90.09 90.00
Space group C2 (No. 5)
One atom of each set of equivalent atoms:
Cs  0.0000  0.0000  0.0000
Dy  0.0000  0.6810  0.5000
Re  0.0000  0.3211  0.5000
O  0.1036  0.4822  0.6437
O  0.1731  0.2213  0.6884
O  0.2437  0.8044  0.6837

## Properties
**Crystal system**: monoclinic
**Mass density**: 5.20 g/cm3

The following is a PBE-GGA calculation of crystalline Cs2Dy2RhO6 at its relaxed geometry, from the Alexandria database.

abc: 5.8733 10.0948 7.1806
angles: 90.00 104.42 90.00
Space group C2/m (No. 12)
One atom of each set of equivalent atoms:
Cs  0.0000  0.1654  0.0000
Dy  0.0000  0.3347  0.5000
Rh  0.0000  0.0000  0.5000
O  0.2014  0.1555  0.6550
O  0.2430  0.5000  0.6567

## Properties
**Crystal system**: monoclinic
**Mass density**: 6.36 g/cm3

The following is a PBE-GGA calculation of crystalline CsDyRu2O8 at its relaxed geometry, from the Alexandria database.

abc: 9.7915 6.0591 8.8984
angles: 90.00 93.70 90.00
Space group C2/m (No. 12)
One atom of each set of equivalent atoms:
Cs  0.0000  0.0000  0.0000
Dy  0.0000  0.0000  0.5000
Ru  0.1339  0.5000  0.2862
O  0.0340  0.2557  0.3199
O  0.1817  0.5000  0.0995
O  0.2207  0.0000  0.5799

## Properties
**Crystal system**: monoclinic
**Mass density**: 3.94 g/cm3

The following is a PBE-GGA calculation of crystalline CsDyS2O8 at its relaxed geometry, from the Alexandria database.

abc: 5.4255 5.4255 8.8859
angles: 90.00 90.00 120.00
Space group P-3 (No. 147)
One atom of each set of equivalent atoms:
Cs  0.0000  0.0000  0.0000
Dy  0.0000  0.0000  0.5000
S  0.3333  0.6667  0.7124
O  0.1343  0.3752  0.6528
O  0.3333  0.6667  0.8766

## Properties
**Crystal system**: trigonal
**Mass density**: 3.57 g/cm3

The following is a PBE-GGA calculation of crystalline Cs3DySb2O8 at its relaxed geometry, from the Alexandria database.

abc: 6.3385 6.3385 8.6492
angles: 90.00 90.00 120.00
Space group P-3m1 (No. 164)
One atom of each set of equivalent atoms:
Cs  0.0000  0.0000  0.0000
Cs  0.3333  0.6667  0.7278
Dy  0.0000  0.0000  0.5000
Sb  0.3333  0.6667  0.2721
O  0.1692  0.3384  0.3479
O  0.3333  0.6667  0.0553

## Properties
**Crystal system**: trigonal
**Mass density**: 5.15 g/cm3

The following is a PBE-GGA calculation of crystalline Cs2Dy2SbO6 at its relaxed geometry, from the Alexandria database.

abc: 6.0096 10.3729 7.3027
angles: 90.00 105.36 90.00
Space group C2/m (No. 12)
One atom of each set of equivalent atoms:
Cs  0.0000  0.1662  0.0000
Dy  0.0000  0.3344  0.5000
Sb  0.0000  0.0000  0.5000
O  0.2088  0.1618  0.6557
O  0.2351  0.5000  0.6559

## Properties
**Crystal system**: monoclinic
**Mass density**: 6.12 g/cm3

The following is a PBE-GGA calculation of crystalline Cs4Dy3ScO8 at its relaxed geometry, from the Alexandria database.

abc: 7.0200 7.0200 20.5744
angles: 90.00 90.00 120.00
Space group R-3m (No. 166, hexagonal axes)
One atom of each set of equivalent atoms:
Cs  0.0000  0.0000  0.0000
Cs  0.0000  0.5000  0.0000
Dy  0.0000  0.5000  0.5000
Sc  0.0000  0.0000  0.5000
O  0.0000  0.0000  0.2213
O  0.0119  0.5059  0.2206

## Properties
**Crystal system**: trigonal
**Mass density**: 6.76 g/cm3

The following is a PBE-GGA calculation of crystalline CsDySe2O8 at its relaxed geometry, from the Alexandria database.

abc: 5.5540 5.5540 9.1609
angles: 90.00 90.00 120.00
Space group P-3 (No. 147)
One atom of each set of equivalent atoms:
Cs  0.0000  0.0000  0.0000
Dy  0.0000  0.0000  0.5000
Se  0.3333  0.6667  0.7136
O  0.0883  0.3563  0.6501
O  0.3333  0.6667  0.8932

## Properties
**Crystal system**: trigonal
**Mass density**: 3.94 g/cm3

The following is a PBE-GGA calculation of crystalline Cs2DySe2O6 at its relaxed geometry, from the Alexandria database.

abc: 10.1276 6.3332 7.6351
angles: 90.00 111.48 90.00
Space group C2/m (No. 12)
One atom of each set of equivalent atoms:
Cs  0.2102  0.0000  0.1537
Dy  0.0000  0.0000  0.5000
Se  0.0824  0.5000  0.2496
O  0.0024  0.2515  0.2852
O  0.2426  0.0000  0.5901

## Properties
**Crystal system**: monoclinic
**Mass density**: 4.97 g/cm3

The following is a PBE-GGA calculation of crystalline CsDySi2O6 at its relaxed geometry, from the Alexandria database.

abc: 10.5131 10.0694 5.5936
angles: 90.00 101.35 90.00
Space group C2/c (No. 15)
One atom of each set of equivalent atoms:
Cs  0.0000  0.1838  0.2500
Dy  0.0000  0.3826  0.7500
Si  0.2237  0.0793  0.8119
O  0.1174  0.4394  0.1255
O  0.1532  0.2227  0.7673
O  0.1742  0.0054  0.0484

## Properties
**Crystal system**: monoclinic
**Mass density**: 5.12 g/cm3

The following is a PBE-GGA calculation of crystalline CsDySiO4 at its relaxed geometry, from the Alexandria database.

abc: 5.6274 5.7969 8.0838
angles: 90.00 108.35 90.00
Space group P2_1/m (No. 11)
One atom of each set of equivalent atoms:
Cs  0.1978  0.2500  0.4297
Dy  0.2856  0.2500  0.9620
Si  0.2567  0.7500  0.1464
O  0.0585  0.7500  0.9467
O  0.0820  0.7500  0.2743
O  0.4518  0.5285  0.1644

## Properties
**Crystal system**: monoclinic
**Mass density**: 5.14 g/cm3

Formation energy without anion corrections
In order: -2.03; -2.02; -2.10; -1.51; -2.11; -1.88; -2.29; -2.59; -1.57; -1.57; -2.83; -2.89
Unit: eV per atom